1.
The following is a PBEsol calculation of an optimized crystal structure of TlAu3, from Alexandria.

Its density of states at the Fermi level is 1.5 states/eV per cell. Its volume is 19.0 Å³/atom. The value obtained for the total energy is -3.511 eV/atom. As for the total moment: 0.00 μB per cell.

abc: 3.6287 3.6486 5.7367
angles: 90.00 90.00 90.00
Fractional positions:
1 Tl 0.0000 0.0000 0.0000
2 Au 0.0000 0.0000 0.5000
3 Au 0.5000 0.5000 0.2611
4 Au 0.5000 0.5000 0.7389



2.
The following is a PBEsol calculation of an optimized crystal structure of K2CuRe, from Alexandria.

Its density of states at the Fermi level is 3.0 states/eV per cell. Its volume is 19.5 Å³/atom. The value obtained for the total energy is -3.608 eV/atom. As for the total moment: 0.57 μB per cell.

abc: 6.3110 6.3110 2.6486
angles: 100.34 100.34 126.31
Fractional positions:
1 K 0.0000 0.5000 0.0000
2 K 0.5000 0.0000 0.0000
3 Cu 0.0000 0.0000 0.5000
4 Re 0.5000 0.5000 0.5000